Material: CaHoCdGa
Method: DFT, PBE
State: optimized geometry

Cell: 3.612 3.612 7.705 Å, 90.00 90.00 90.00°
Fractional positions:
Ca (0.000, 0.000, 0.371)
Cd (0.500, 0.500, 0.099)
Ga (0.500, 0.500, 0.618)
Ho (0.000, 0.000, 0.841)

Values from the calculation:
Symmetry: No. 99
Energy, hartree per atom: -0.1126
ρ, g/cm³: 6.4
Size of the total moment, μB/cell: 0.00
Energy above the lowest structure with this stoichiometry, meV per atom: 0
DOS at the Fermi energy, states/eV/f.u.: 2.411